Below is an optimized crystal structure of Pr2Y4TmSc, with properties calculated at the PBE level.

DFT total energy = -5.737 eV/atom

a = 5.052 Å, b = 5.052 Å, c = 10.010 Å
α = 90.00°, β = 90.00°, γ = 90.00°
Atoms (fractional coordinates):
Pr: 0.000 0.000 0.000
Pr: 0.500 0.500 0.500
Y: 0.000 0.500 0.246
Y: 0.000 0.500 0.754
Y: 0.500 0.000 0.246
Y: 0.500 0.000 0.754
Tm: 0.000 0.000 0.500
Sc: 0.500 0.500 0.000


Below is an optimized crystal structure of PrY5TmSc2, with properties calculated at the PBE level.

DFT total energy = -5.858 eV/atom

a = 11.149 Å, b = 11.149 Å, c = 9.353 Å
α = 90.00°, β = 90.00°, γ = 150.74°
Atoms (fractional coordinates):
Pr: 0.183 0.817 0.500
Pr: 0.817 0.183 0.000
Y: 0.009 0.991 0.503
Y: 0.265 0.735 0.182
Y: 0.307 0.693 0.801
Y: 0.390 0.610 0.470
Y: 0.469 0.531 0.769
Y: 0.531 0.469 0.269
Y: 0.610 0.390 0.970
Y: 0.693 0.307 0.301
Y: 0.735 0.265 0.682
Y: 0.991 0.009 0.003
Tm: 0.403 0.597 0.098
Tm: 0.597 0.403 0.598
Sc: 0.113 0.887 0.193
Sc: 0.136 0.864 0.817
Sc: 0.864 0.136 0.317
Sc: 0.887 0.113 0.693


Number 1: ΔE_f 40 meV/atom. Number 2: ΔE_f 168 meV/atom.